Record 1
The following is a DFT calculation (PBE) of a relaxed structure of MoCSN2.

Properties
SG: P4/mmm (123)
Raw formation energy in kJ/mol of atoms: 166.7

Cell: 3.826 3.826 5.101 Å, 90.00 90.00 90.00°
Each line ends with the local moment (μB).
Sites, in units of the cell vectors:
1 S 0.000 0.000 0.500  -0.12
2 C 0.500 0.500 0.500  0.51
3 Mo 0.000 0.000 0.000  0.29
4 N 0.000 0.500 0.000  -0.23
5 N 0.500 0.000 0.000  -0.23

Record 2
The following is a DFT calculation (PBE) of a relaxed structure of MoCS2N.

Properties
SG: P4/mmm (123)
Raw formation energy in kJ/mol of atoms: 104.4

Cell: 5.300 5.300 2.478 Å, 90.00 90.00 90.00°
Each line ends with the local moment (μB).
Sites, in units of the cell vectors:
1 C 0.000 0.000 0.000  -0.01
2 Mo 0.500 0.500 0.500  1.05
3 S 0.500 0.000 0.000  -0.01
4 N 0.000 0.000 0.500  0.01
5 S 0.000 0.500 0.000  -0.01

Record 3
The following is a DFT calculation (PBE) of a relaxed structure of MoCSN2.

Properties
SG: P4/mmm (123)
Raw formation energy in kJ/mol of atoms: 185.0

Cell: 3.602 3.602 3.684 Å, 90.00 90.00 90.00°
Each line ends with the local moment (μB).
Sites, in units of the cell vectors:
1 Mo 0.500 0.500 0.500  0.79
2 N 0.000 0.500 0.000  -0.09
3 N 0.500 0.000 0.000  -0.09
4 S 0.000 0.000 0.500  -0.01
5 C 0.000 0.000 0.000  -0.01

Record 4
The following is a DFT calculation (PBE) of a relaxed structure of MoCS2N.

Properties
SG: P4/mmm (123)
Raw formation energy in kJ/mol of atoms: 148.9

Cell: 4.770 4.770 3.792 Å, 90.00 90.00 90.00°
Each line ends with the local moment (μB).
Sites, in units of the cell vectors:
1 S 0.000 0.500 0.000  -0.27
2 C 0.500 0.500 0.500  0.71
3 Mo 0.000 0.000 0.000  0.41
4 S 0.500 0.000 0.000  -0.27
5 N 0.000 0.000 0.500  -0.21

no.,polymorph energy (0 for the lowest one) (meV per atom)
1,0
2,0
3,190
4,461